# 1
Below is an optimized crystal structure of In3Mo4W2N3, with properties calculated at the PBE level.

Mass density   10.48 Mg/m³
Total magnetization   0.00 μB per cell
Total DFT energy (no corrections)   -202.632 eV for the cell shown

Unit cell a=5.6628 b=5.6628 c=13.8467 alpha=101.87 beta=101.87 gamma=56.61
Atoms (fractional coordinates):
In1 0.7376 0.5908 0.2477
In2 0.0796 0.9204 0.2500
In3 0.4092 0.2624 0.2523
In4 0.5908 0.7376 0.7477
In5 0.9204 0.0796 0.7500
In6 0.2624 0.4092 0.7523
Mo1 0.0348 0.1814 0.0780
Mo2 0.6914 0.8838 0.0796
Mo3 0.1162 0.3086 0.4204
Mo4 0.8186 0.9652 0.4220
Mo5 0.1814 0.0348 0.5780
Mo6 0.8838 0.6914 0.5796
Mo7 0.3086 0.1162 0.9204
Mo8 0.9652 0.8186 0.9220
N1 0.0000 0.5000 0.0000
N2 0.3578 0.8206 0.0134
N3 0.1794 0.6422 0.4866
N4 0.5000 0.0000 0.5000
N5 0.8206 0.3578 0.5134
N6 0.6422 0.1794 0.9866
W1 0.3386 0.5266 0.0737
W2 0.4734 0.6614 0.4263
W3 0.5266 0.3386 0.5737
W4 0.6614 0.4734 0.9263


# 2
Below is an optimized crystal structure of Y4In3Mo2N3, with properties calculated at the PBE level.

Mass density   7.07 Mg/m³
Total magnetization   0.00 μB per cell
Total DFT energy (no corrections)   -179.292 eV for the cell shown

Unit cell a=5.8708 b=5.8708 c=14.9853 alpha=100.95 beta=100.95 gamma=60.53
Atoms (fractional coordinates):
In1 0.5828 0.7059 0.2497
In2 0.8673 0.1327 0.2500
In3 0.2941 0.4172 0.2503
In4 0.7059 0.5828 0.7497
In5 0.1327 0.8673 0.7500
In6 0.4172 0.2941 0.7503
Mo1 0.5221 0.3557 0.0691
Mo2 0.6443 0.4779 0.4309
Mo3 0.3557 0.5221 0.5691
Mo4 0.4779 0.6443 0.9309
N1 0.5000 0.0000 0.0000
N2 0.8233 0.3382 0.0000
N3 0.1767 0.6618 0.0000
N4 0.6618 0.1767 0.5000
N5 0.0000 0.5000 0.5000
N6 0.3382 0.8233 0.5000
Y1 0.8648 0.6966 0.0915
Y2 0.1962 0.0311 0.0915
Y3 0.9689 0.8038 0.4085
Y4 0.3034 0.1352 0.4085
Y5 0.6966 0.8648 0.5915
Y6 0.0311 0.1962 0.5915
Y7 0.8038 0.9689 0.9085
Y8 0.1352 0.3034 0.9085